(1)
# CaTb2Te3 (GGA-PBE, optimized geometry)
data_CaTb2Te3
_chemical_formula_sum 'Ca1 Tb2 Te3'
_cell_length_a 7.672
_cell_length_b 7.672
_cell_length_c 7.672
_cell_angle_alpha 146.84
_cell_angle_beta 132.15
_cell_angle_gamma 59.46
_space_group_name_H-M_alt 'P 1'
_space_group_IT_number 1
loop_
_space_group_symop_operation_xyz
'x,y,z'
loop_
_atom_site_label
_atom_site_type_symbol
_atom_site_fract_x
_atom_site_fract_y
_atom_site_fract_z
Ca1 Ca 0.000 0.000 0.000
Tb1 Tb 0.335 0.335 0.000
Tb2 Tb 0.665 0.665 0.000
Te1 Te 0.168 0.668 0.500
Te2 Te 0.500 0.000 0.500
Te3 Te 0.832 0.332 0.500
# DFT total energy = -4.858 eV per atom
# Volume = 30.25 Å³/atom
# Fermi-level density of states = 0.415 states/eV per atom

(2)
# Ca2TbTe3 (GGA-PBE, optimized geometry)
data_Ca2TbTe3
_chemical_formula_sum 'Ca4 Tb2 Te6'
_cell_length_a 7.700
_cell_length_b 7.700
_cell_length_c 7.743
_cell_angle_alpha 99.53
_cell_angle_beta 99.53
_cell_angle_gamma 119.98
_space_group_name_H-M_alt 'P 1'
_space_group_IT_number 1
loop_
_space_group_symop_operation_xyz
'x,y,z'
loop_
_atom_site_label
_atom_site_type_symbol
_atom_site_fract_x
_atom_site_fract_y
_atom_site_fract_z
Ca1 Ca 0.000 0.000 0.000
Ca2 Ca 0.166 0.834 0.500
Ca3 Ca 0.500 0.500 0.500
Ca4 Ca 0.834 0.166 0.500
Tb1 Tb 0.333 0.667 0.000
Tb2 Tb 0.667 0.333 0.000
Te1 Te 0.082 0.418 0.247
Te2 Te 0.254 0.254 0.754
Te3 Te 0.418 0.082 0.247
Te4 Te 0.582 0.918 0.753
Te5 Te 0.746 0.746 0.246
Te6 Te 0.918 0.582 0.753
# Energy above the most stable polymorph in this dataset = 0.000 eV per atom
# Volume = 31.27 Å³/atom
# Fermi-level density of states = 0.243 states/eV per atom

(3)
# CaTbTe2 (GGA-PBE, optimized geometry)
data_CaTbTe2
_chemical_formula_sum 'Ca1 Tb1 Te2'
_cell_length_a 7.783
_cell_length_b 7.783
_cell_length_c 7.783
_cell_angle_alpha 32.80
_cell_angle_beta 32.80
_cell_angle_gamma 32.80
_space_group_name_H-M_alt 'P 1'
_space_group_IT_number 1
loop_
_space_group_symop_operation_xyz
'x,y,z'
loop_
_atom_site_label
_atom_site_type_symbol
_atom_site_fract_x
_atom_site_fract_y
_atom_site_fract_z
Ca1 Ca 0.000 0.000 0.000
Tb1 Tb 0.500 0.500 0.500
Te1 Te 0.249 0.249 0.249
Te2 Te 0.751 0.751 0.751
# Energy above the most stable polymorph in this dataset = 0.000 eV per atom
# Volume = 30.78 Å³/atom
# Fermi-level density of states = 0.432 states/eV per atom